<w>
VASP calculation (meta-GGA SCAN) on a crystal of ReSe relaxed with PBEsol.

POSCAR file:
```
ReSe
1.0
-0.410 1.356 2.571
2.582 -2.400 1.678
5.065 3.537 -2.734
Re Se
2 2
Direct
0.206 0.250 0.413
0.794 0.750 0.587
0.389 0.250 0.777
0.611 0.750 0.223
```

## Properties
space-group type = Cmcm, No. 63
density of states at the Fermi level = 2.4 states/eV per cell

***

<x>
VASP calculation (meta-GGA SCAN) on a crystal of ReSe relaxed with PBEsol.

POSCAR file:
```
ReSe
1.0
3.955 0.000 0.000
-1.978 3.426 0.000
0.000 0.000 5.066
Se Re
2 2
Direct
0.333 0.667 0.250
0.667 0.333 0.750
0.000 0.000 0.000
0.000 0.000 0.500
```

## Properties
space-group type = P6_3/mmc, No. 194
density of states at the Fermi level = 2.1 states/eV per cell

***

Most stable to least stable, the ends of the list are <w> and <x>.

***

<w>
VASP calculation (meta-GGA SCAN) on a crystal of ReSe relaxed with PBEsol.

POSCAR file:
```
ReSe
1.0
-1.709 -4.067 0.784
2.393 -3.661 -0.972
1.663 -2.531 3.302
Re Se
2 2
Direct
0.500 0.500 0.500
0.750 0.750 0.750
0.000 0.000 0.000
0.250 0.250 0.250
```

## Properties
space-group type = Fd-3m, No. 227
density of states at the Fermi level = 5.1 states/eV per cell

***

<x>
VASP calculation (meta-GGA SCAN) on a crystal of ReSe relaxed with PBEsol.

POSCAR file:
```
ReSe
1.0
2.963 0.000 0.000
-1.482 2.639 0.000
0.000 0.000 4.106
Re Se
1 1
Direct
0.000 0.000 0.000
0.500 0.000 0.500
```

## Properties
space-group type = Cmmm, No. 65
density of states at the Fermi level = 2.2 states/eV per cell

***

Most stable to least stable, the ends of the list are <w> and <x>.

***

<w>
VASP calculation (meta-GGA SCAN) on a crystal of Re2SiSe relaxed with PBEsol.

POSCAR file:
```
Re2SiSe
1.0
-1.912 0.649 1.966
-0.584 -2.219 -1.636
3.889 -5.037 5.443
Se Si Re
1 1 2
Direct
0.500 0.500 0.500
0.500 0.500 0.000
0.000 0.000 0.228
0.000 0.000 0.772
```

## Properties
space-group type = Cmmm, No. 65
density of states at the Fermi level = 3.3 states/eV per cell

***

<x>
VASP calculation (meta-GGA SCAN) on a crystal of Re2SiSe relaxed with PBEsol.

POSCAR file:
```
Re2SiSe
1.0
-0.390 -2.378 -1.701
2.664 1.484 -2.687
3.691 -2.310 2.383
Re Se Si
2 1 1
Direct
0.000 0.000 0.000
0.500 0.000 0.500
0.500 0.500 0.000
0.000 0.500 0.500
```

## Properties
space-group type = Pmmm, No. 47
density of states at the Fermi level = 3.4 states/eV per cell

***

<y>
VASP calculation (meta-GGA SCAN) on a crystal of Re2SiSe relaxed with PBEsol.

POSCAR file:
```
Re2SiSe
1.0
3.003 0.000 0.000
0.000 4.293 0.000
0.000 0.000 4.293
Se Re Si
1 2 1
Direct
0.500 0.500 0.500
0.000 0.000 0.500
0.000 0.500 0.000
0.500 0.000 0.000
```

## Properties
space-group type = P4/mmm, No. 123
density of states at the Fermi level = 2.3 states/eV per cell

***

Most stable to least stable, the ends of the list are <y> and <x>.

***

<w>
VASP calculation (meta-GGA SCAN) on a crystal of Re2SiSe relaxed with PBEsol.

POSCAR file:
```
Re2SiSe
1.0
-2.723 -4.376 2.189
4.892 -2.484 1.121
-0.998 5.671 2.933
Re Se Si
4 2 2
Direct
0.379 0.875 0.250
0.125 0.129 0.750
0.871 0.375 0.250
0.625 0.621 0.750
0.000 0.000 0.000
0.250 0.750 0.500
0.500 0.500 0.000
0.750 0.250 0.500
```

## Properties
space-group type = I-42d, No. 122
density of states at the Fermi level = 8.1 states/eV per cell

***

<x>
VASP calculation (meta-GGA SCAN) on a crystal of Re2SiSe relaxed with PBEsol.

POSCAR file:
```
Re2SiSe
1.0
-1.406 2.064 -1.418
-3.560 -1.083 1.953
3.531 2.782 3.457
Re Si Se
2 1 1
Direct
0.800 0.800 0.600
0.200 0.200 0.400
0.500 0.000 0.000
0.000 0.500 0.000
```

## Properties
space-group type = Immm, No. 71
density of states at the Fermi level = 1.6 states/eV per cell

***

Most stable to least stable, the ends of the list are <x> and <w>.

***

<w>
VASP calculation (meta-GGA SCAN) on a crystal of Re3Si relaxed with PBEsol.

POSCAR file:
```
Re3Si
1.0
2.841 0.000 0.000
-1.420 2.460 0.000
0.000 0.000 8.042
Re Si
3 1
Direct
0.000 0.000 0.265
0.000 0.000 0.735
0.333 0.667 0.000
0.333 0.667 0.500
```

## Properties
space-group type = P-6m2, No. 187
density of states at the Fermi level = 2.2 states/eV per cell

***

<x>
VASP calculation (meta-GGA SCAN) on a crystal of Re3Si relaxed with PBEsol.

POSCAR file:
```
Re3Si
1.0
-2.286 0.666 -1.629
-1.634 0.189 2.370
1.501 6.430 0.522
Si Re
1 3
Direct
0.500 0.500 0.500
0.500 0.500 0.000
0.000 0.000 0.271
0.000 0.000 0.729
```

## Properties
space-group type = P4/mmm, No. 123
density of states at the Fermi level = 2.3 states/eV per cell

***

Most stable to least stable, the ends of the list are <x> and <w>.

***

<w>
VASP calculation (meta-GGA SCAN) on a crystal of Re2Si relaxed with PBEsol.

POSCAR file:
```
Re2Si
1.0
-2.185 1.919 -0.051
-1.012 -1.085 2.502
4.267 2.686 1.200
Re Si
2 1
Direct
0.658 0.658 0.316
0.342 0.342 0.684
0.000 0.000 0.000
```

## Properties
space-group type = I4/mmm, No. 139
density of states at the Fermi level = 1.1 states/eV per cell

***

<x>
VASP calculation (meta-GGA SCAN) on a crystal of Re2Si relaxed with PBEsol.

POSCAR file:
```
Re2Si
1.0
2.889 0.000 0.000
-1.445 5.135 -0.008
0.000 -1.326 5.559
Re Si
4 2
Direct
0.686 0.373 0.138
0.030 0.059 0.780
0.970 0.941 0.220
0.314 0.627 0.862
0.351 0.701 0.454
0.649 0.299 0.546
```

## Properties
space-group type = C2/m, No. 12
density of states at the Fermi level = 2.8 states/eV per cell

***

<y>
VASP calculation (meta-GGA SCAN) on a crystal of Re2Si relaxed with PBEsol.

POSCAR file:
```
Re2Si
1.0
-2.348 0.412 -1.421
2.001 -1.604 -1.061
-2.563 -5.033 2.776
Re Si
2 1
Direct
0.333 0.667 0.331
0.667 0.333 0.669
0.000 0.000 0.000
```

## Properties
space-group type = P-3m1, No. 164
density of states at the Fermi level = 1.8 states/eV per cell

***

Most stable to least stable, the ends of the list are <x> and <y>.